# NpSnOs

A relaxed NpSnOs crystal (PBE-GGA, Alexandria).

Spin magnetization   3.03 μB per formula unit
Energy of formation from the pure elements   0.173 eV/atom

abc: 3.114 3.114 26.553
angles: 90.00 90.00 90.00
Space group I4/mmm (No. 139)
Asymmetric unit:
Np  0.000  0.000  0.149 (multiplicity 4)
Sn  0.000  0.000  0.446 (multiplicity 4)
Os  0.000  0.000  0.282 (multiplicity 4)

***

# Np2SnOs

A relaxed Np2SnOs crystal (PBE-GGA, Alexandria).

Spin magnetization   6.92 μB per formula unit
Energy of formation from the pure elements   0.130 eV/atom

abc: 3.824 3.824 5.888
angles: 90.00 90.00 90.00
Space group P4/mmm (No. 123)
Asymmetric unit:
Np  0.000  0.000  0.223 (multiplicity 2)
Sn  0.500  0.500  0.500 (multiplicity 1)
Os  0.500  0.500  0.000 (multiplicity 1)

***

# NpTaOs2

A relaxed NpTaOs2 crystal (PBE-GGA, Alexandria).

Spin magnetization   2.68 μB per formula unit
Energy of formation from the pure elements   -0.098 eV/atom
Energy relative to the lowest polymorph listed for this composition   0.00 eV per formula unit

abc: 3.103 3.103 7.301
angles: 90.00 90.00 90.00
Space group P4/mmm (No. 123)
Asymmetric unit:
Np  0.000  0.000  0.000 (multiplicity 1)
Ta  0.000  0.000  0.500 (multiplicity 1)
Os  0.500  0.500  0.280 (multiplicity 2)